No. 1
! Dy3Er8Tm3 | Alexandria | PBE | optimized geometry; values from VASP
! Energy above the lowest structure with this stoichiometry, meV per atom: 6.7
! Energy of formation from the pure elements, meV per atom: 125
! Volume, Å³ per atom: 30.9
! SG: Immm (71)
&SYSTEM
  ibrav = 0, nat = 14, ntyp = 3
/
ATOMIC_SPECIES
Dy 162.50 Dy.upf
Tm 168.93 Tm.upf
Er 167.26 Er.upf
ATOMIC_POSITIONS crystal
Dy 0.5000 0.5000 0.5000
Tm 0.0000 0.1823 0.8177
Er 0.3415 0.8809 0.4362
Dy 0.2015 0.7985 0.7985
Er 0.6585 0.5638 0.1191
Tm 0.5000 0.0000 0.0000
Tm 0.0000 0.8177 0.1823
Er 0.8415 0.7625 0.5545
Er 0.3415 0.4362 0.8809
Dy 0.7985 0.2015 0.2015
Er 0.1585 0.4455 0.2375
Er 0.8415 0.5545 0.7625
Er 0.6585 0.1191 0.5638
Er 0.1585 0.2375 0.4455
CELL_PARAMETERS angstrom
5.5305 0.0000 0.0000
2.7652 8.6791 -2.6659
2.7652 -0.2023 9.0770


No. 2
! Ba2SrLiAu | Alexandria | PBE | optimized geometry; values from VASP
! Energy above the lowest structure with this stoichiometry, meV per atom: 0.0
! Energy of formation from the pure elements, meV per atom: -245
! Volume, Å³ per atom: 50.8
! SG: P4/mmm (123)
&SYSTEM
  ibrav = 0, nat = 5, ntyp = 4
/
ATOMIC_SPECIES
Ba 137.33 Ba.upf
Sr 87.62 Sr.upf
Au 196.97 Au.upf
Li 6.94 Li.upf
ATOMIC_POSITIONS crystal
Ba 0.5000 0.0000 0.0000
Ba 0.0000 0.5000 0.0000
Sr 0.0000 0.0000 0.5000
Au 0.0000 0.0000 0.0000
Li 0.5000 0.5000 0.5000
CELL_PARAMETERS angstrom
6.4217 0.0000 0.0000
0.0000 6.4217 0.0000
0.0000 0.0000 6.1632


No. 3
! ScHgAs2Br | Alexandria | PBE | optimized geometry; values from VASP
! E_form (uncorrected), eV/atom: 0.50
! Energy above the lowest structure with this stoichiometry, meV per atom: 603.1
! Volume, Å³ per atom: 29.0
! SG: P4/mmm (123)
&SYSTEM
  ibrav = 0, nat = 5, ntyp = 4
/
ATOMIC_SPECIES
As 74.92 As.upf
Hg 200.59 Hg.upf
Br 79.90 Br.upf
Sc 44.96 Sc.upf
ATOMIC_POSITIONS crystal
As 0.5000 0.0000 0.0000
Hg 0.0000 0.0000 0.0000
As 0.0000 0.5000 0.0000
Br 0.0000 0.0000 0.5000
Sc 0.5000 0.5000 0.5000
CELL_PARAMETERS angstrom
5.0961 0.0000 0.0000
0.0000 5.0961 0.0000
0.0000 0.0000 5.5834


No. 4
! Zr2GaC | Alexandria | PBE | optimized geometry; values from VASP
! Energy of formation from the pure elements, meV per atom: -714
! Volume, Å³ per atom: 17.1
! SG: R-3m (166)
&SYSTEM
  ibrav = 0, nat = 4, ntyp = 3
/
ATOMIC_SPECIES
Zr 91.22 Zr.upf
Ga 69.72 Ga.upf
C 12.01 C.upf
ATOMIC_POSITIONS crystal
Zr 0.2734 0.2734 0.1798
Ga 0.5000 0.5000 0.5000
Zr 0.7266 0.7266 0.8202
C 0.0000 0.0000 0.0000
CELL_PARAMETERS angstrom
3.3402 0.0000 0.0000
1.6701 2.8927 0.0000
1.6701 0.9642 7.0839


No. 5
! CaRe2Rh | Alexandria | PBE | optimized geometry; values from VASP
! Energy above the lowest structure with this stoichiometry, meV per atom: 754.6
! Energy of formation from the pure elements, meV per atom: 981
! Volume, Å³ per atom: 16.4
! SG: Fm-3m (225)
&SYSTEM
  ibrav = 0, nat = 4, ntyp = 3
/
ATOMIC_SPECIES
Re 186.21 Re.upf
Rh 102.91 Rh.upf
Ca 40.08 Ca.upf
ATOMIC_POSITIONS crystal
Re 0.7500 0.7500 0.7500
Rh 0.5000 0.5000 0.5000
Ca 0.0000 0.0000 0.0000
Re 0.2500 0.2500 0.2500
CELL_PARAMETERS angstrom
0.0000 3.2037 3.2037
3.2037 0.0000 3.2037
3.2037 3.2037 0.0000


No. 6
! K2PaCdSe4 | Alexandria | PBE | optimized geometry; values from VASP
! E_form (uncorrected), eV/atom: -1.16
! Volume, Å³ per atom: 29.8
! SG: P2/m (10)
&SYSTEM
  ibrav = 0, nat = 8, ntyp = 4
/
ATOMIC_SPECIES
Se 78.96 Se.upf
K 39.10 K.upf
Pa 231.04 Pa.upf
Cd 112.41 Cd.upf
ATOMIC_POSITIONS crystal
Se 0.5000 0.2347 0.1957
K 0.0000 0.5000 0.5000
Se 0.5000 0.7653 0.8043
Se 0.0000 0.2774 0.7860
Pa 0.5000 0.5000 0.0000
Se 0.0000 0.7226 0.2140
Cd 0.0000 0.0000 0.0000
K 0.5000 0.0000 0.5000
CELL_PARAMETERS angstrom
-1.1609 -2.9690 2.7713
-0.9483 -4.7683 -5.5055
7.6669 -0.5209 2.6537